## Er2Cr2Fe15 (PBE)

Data for crystalline Er2Cr2Fe15 at its relaxed geometry.

Cell: 6.3226 6.3226 6.3226 Å, 81.88 81.88 81.88°
Last column: magnetic moment on the atom in μB.
Sites, in units of the cell vectors:
Fe 0.8421 0.3394 0.3394  1.89
Fe 0.3394 0.8421 0.3394  1.89
Cr 0.0863 0.0863 0.0863  -0.78
Fe 0.0000 0.6943 0.3057  2.16
Fe 0.1579 0.6606 0.6606  1.89
Fe 0.6943 0.0000 0.3057  2.16
Fe 0.3394 0.3394 0.8421  1.89
Fe 0.3057 0.0000 0.6943  2.16
Er 0.3422 0.3422 0.3422  -0.40
Fe 0.0000 0.5000 0.0000  1.65
Er 0.6578 0.6578 0.6578  -0.40
Fe 0.6606 0.1579 0.6606  1.89
Fe 0.0000 0.3057 0.6943  2.16
Fe 0.3057 0.6943 0.0000  2.16
Fe 0.6606 0.6606 0.1579  1.89
Fe 0.0000 0.0000 0.5000  1.65
Fe 0.6943 0.3057 0.0000  2.16
Cr 0.9137 0.9137 0.9137  -0.78
Fe 0.5000 0.0000 0.0000  1.65

The calculation puts the formation energy at -0.007 eV/atom. The calculation puts the total magnetic moment at 26.5 μB per formula unit.